Below is a relaxed LiVNiO4 crystal, with properties calculated at the PBE with a Hubbard U level.

- Crystal system: orthorhombic
- Excess energy over the best structure of this formula in the dataset: 0 meV per atom
- V: 10.3 Å³/atom
- E_tot: -6.312 eV/atom

```
data_LiVNiO4
_chemical_formula_sum 'Li4 V4 Ni4 O16'
_cell_length_a 5.8333
_cell_length_b 5.9568
_cell_length_c 8.2618
_cell_angle_alpha 90.00
_cell_angle_beta 90.00
_cell_angle_gamma 90.00
_space_group_name_H-M_alt 'I m m a'
_space_group_IT_number 74
_space_group_name_Hall '-I 2b 2'
loop_
_atom_site_label
_atom_site_fract_x
_atom_site_fract_y
_atom_site_fract_z
Li1 0.2500 0.2500 0.2500
V1 0.0000 0.2500 0.6255
Ni1 0.0000 0.0000 0.0000
O1 0.0000 0.0137 0.7473
O2 0.2484 0.2500 0.9980
```